{"formula": "SrCa2ScCu", "functional": "GGA-PBE", "state": "relaxed", "total_magnetization_mub_per_fu": 0.00, "ef_mev_per_atom": 90.5, "sg": "No. 123", "crystal_system": "tetragonal", "cell": [[5.7560, 0.0000, 0.0000], [0.0000, 5.7560, 0.0000], [0.0000, 0.0000, 5.1897]], "species": ["Sr", "Ca", "Ca", "Sc", "Cu"], "fractional_positions": [[0.0000, 0.0000, 0.0000], [0.0000, 0.5000, 0.5000], [0.5000, 0.0000, 0.5000], [0.5000, 0.5000, 0.0000], [0.5000, 0.5000, 0.5000]]}